MnZn2Fe | Alexandria | GGA-PBE | relaxed; space group = C2/m; formation energy = 0.117 eV per atom; energy relative to the lowest polymorph listed for this composition = 0.102 eV per atom
1.0
4.606 -0.006 0.033
3.830 2.558 0.033
0.802 0.243 4.470
Zn Fe Mn
2 1 1
Direct
0.497 0.497 0.505
0.003 0.003 0.995
0.750 0.750 0.750
0.250 0.250 0.250

La2Nd5Y2 | Alexandria | GGA-PBE | relaxed; space group = P-1; formation energy = 0.016 eV per atom; energy relative to the lowest polymorph listed for this composition = 0.000 eV per atom
1.0
0.646 0.437 -6.312
7.919 -1.112 1.822
0.664 -6.300 0.693
La Nd Y
2 5 2
Direct
0.554 0.112 0.221
0.446 0.888 0.779
0.890 0.775 0.555
0.000 0.000 0.000
0.667 0.335 0.667
0.110 0.225 0.445
0.333 0.665 0.333
0.778 0.555 0.110
0.222 0.445 0.890

LaHg2Mo | Alexandria | GGA-PBE | relaxed; space group = F-43m; formation energy = 0.461 eV per atom; energy relative to the lowest polymorph listed for this composition = 0.218 eV per atom
1.0
-4.402 1.696 -2.156
-3.448 -3.395 -1.870
-4.523 -0.711 2.437
La Mo Hg
1 1 2
Direct
0.500 0.500 0.500
0.750 0.750 0.750
0.250 0.250 0.250
0.000 0.000 0.000

TaRh2Au | Alexandria | GGA-PBE | relaxed; space group = Pmm2; formation energy = -0.231 eV per atom
1.0
2.864 0.000 0.000
0.000 3.991 0.000
0.000 0.000 5.573
Ta Rh Au
1 2 1
Direct
0.000 0.000 0.477
0.000 0.000 0.008
0.500 0.500 0.258
0.500 0.500 0.757

TiAs3N | Alexandria | GGA-PBE | relaxed; space group = Pm-3m; ΔE_f (raw) = 444 meV/atom; energy relative to the lowest polymorph listed for this composition = 0.000 eV per atom
1.0
-0.379 -2.361 3.565
4.270 -0.405 0.185
0.234 3.562 2.384
As Ti N
3 1 1
Direct
0.000 0.500 0.000
0.500 0.000 0.000
0.000 0.000 0.500
0.500 0.500 0.500
0.000 0.000 0.000

La2Tb5Pm5 | Alexandria | GGA-PBE | relaxed; space group = C2/m; formation energy = 0.021 eV per atom
1.0
-4.938 -1.247 -0.597
-1.057 -7.623 2.652
-4.036 0.609 10.095
Tb Pm La
5 5 2
Direct
0.667 0.668 0.999
0.333 0.332 0.001
0.416 0.919 0.250
0.500 0.500 0.500
0.584 0.081 0.750
0.000 0.000 0.000
0.833 0.833 0.500
0.752 0.247 0.248
0.167 0.167 0.500
0.248 0.753 0.752
0.083 0.585 0.250
0.917 0.415 0.750

YSc2SeS | Alexandria | GGA-PBE | relaxed; space group = P4/mmm; ΔE_f (raw) = 291 meV/atom
1.0
5.604 0.000 0.000
0.000 4.857 0.000
0.000 0.000 5.604
Sc S Se Y
2 1 1 1
Direct
0.500 0.000 0.000
0.000 0.000 0.500
0.000 0.500 0.000
0.500 0.500 0.500
0.000 0.000 0.000

Number 1: energy -19.71 eV for the cell shown. Number 2: energy -46.47 eV for the cell shown. Number 3: energy -14.52 eV for the cell shown. Number 4: energy -30.76 eV for the cell shown. Number 5: energy -27.95 eV for the cell shown. Number 6: energy -56.51 eV for the cell shown. Number 7: energy -25.28 eV for the cell shown.